Entry 1:
This record from the Alexandria database describes a relaxed Tl2CuRu crystal. The functional is GGA-PBE.

```
Tl2CuRu
1.0
-3.9464 -1.5677 0.2068
0.8893 -2.5332 -2.2328
1.8597 -4.3035 2.8670
Ru Tl Cu
1 2 1
Direct
0.5000 0.5503 0.7747 Ru
0.5000 0.2749 0.3258 Tl
0.0000 0.9778 0.9178 Tl
0.0000 0.6970 0.4817 Cu
```

**Excess energy over the best structure of this formula in the dataset**: 0.00 kJ per mole of atoms
**Energy relative to the elements**: 40.11 kJ/mol of atoms
**DFT total energy**: -16.442 eV/cell
**Space group**: Pm (6)
**Magnetization**: 0.00 μB/cell
**DOS at the Fermi energy**: 2.57 states/eV/cell
**Mass density**: 12.32 g/cm3

---

Entry 2:
This record from the Alexandria database describes a relaxed Tl2CuRu crystal. The functional is GGA-PBE.

```
Tl2CuRu
1.0
-1.3372 -2.6538 -1.1346
1.7968 -0.1751 2.6190
-7.1810 1.4699 5.0249
Ru Tl Cu
1 2 1
Direct
0.5000 0.5000 0.7500 Ru
0.0000 0.0000 0.0006 Tl
0.0000 0.0000 0.4994 Tl
0.5000 0.5000 0.2500 Cu
```

**Excess energy over the best structure of this formula in the dataset**: 19.72 kJ per mole of atoms
**Energy relative to the elements**: 59.82 kJ/mol of atoms
**DFT total energy**: -15.625 eV/cell
**Space group**: Cmmm (65)
**Magnetization**: 0.00 μB/cell
**DOS at the Fermi energy**: 2.71 states/eV/cell
**Mass density**: 12.11 g/cm3